Sm2CuAgO5: relaxed, PBE.

abc: 6.7078 6.7078 5.5138
angles: 90.00 90.00 90.00
Space group P4/mbm (No. 127)
Asymmetric unit:
Sm1 0.1768 0.3232 0.0000 x4
Cu1 0.0000 0.5000 0.5000 x2
Ag1 0.0000 0.0000 0.5000 x2
O1 0.0000 0.0000 0.0000 x2
O2 0.1302 0.6302 0.2552 x8

Output
Energy relative to the elements, uncorrected, eV per atom: -1.968
Crystal system: tetragonal